[1]
# NdSiHO4 (GGA-PBE, relaxed)
data_NdSiHO4
_cell_length_a 7.867
_cell_length_b 9.035
_cell_length_c 17.718
_cell_angle_alpha 90.00
_cell_angle_beta 90.00
_cell_angle_gamma 90.00
_space_group_name_H-M_alt 'P 1'
_space_group_IT_number 1
_space_group_name_Hall 'P 1'
loop_
_atom_site_label
_atom_site_type_symbol
_atom_site_fract_x
_atom_site_fract_y
_atom_site_fract_z
Nd1 Nd 0.126 0.175 0.125
Nd2 Nd 0.126 0.325 0.625
Nd3 Nd 0.135 0.185 0.883
Nd4 Nd 0.135 0.315 0.383
Nd5 Nd 0.365 0.685 0.883
Nd6 Nd 0.365 0.815 0.383
Nd7 Nd 0.374 0.675 0.125
Nd8 Nd 0.374 0.825 0.625
Nd9 Nd 0.626 0.175 0.375
Nd10 Nd 0.626 0.325 0.875
Nd11 Nd 0.635 0.185 0.617
Nd12 Nd 0.635 0.315 0.117
Nd13 Nd 0.865 0.685 0.617
Nd14 Nd 0.865 0.815 0.117
Nd15 Nd 0.874 0.675 0.375
Nd16 Nd 0.874 0.825 0.875
Si1 Si 0.024 0.020 0.294
Si2 Si 0.024 0.480 0.794
Si3 Si 0.246 0.571 0.505
Si4 Si 0.246 0.929 0.005
Si5 Si 0.254 0.071 0.505
Si6 Si 0.254 0.429 0.005
Si7 Si 0.476 0.520 0.294
Si8 Si 0.476 0.980 0.794
Si9 Si 0.524 0.020 0.206
Si10 Si 0.524 0.480 0.706
Si11 Si 0.746 0.571 0.995
Si12 Si 0.746 0.929 0.495
Si13 Si 0.754 0.071 0.995
Si14 Si 0.754 0.429 0.495
Si15 Si 0.976 0.520 0.206
Si16 Si 0.976 0.980 0.706
H1 H 0.057 0.635 0.997
H2 H 0.057 0.865 0.497
H3 H 0.199 0.591 0.282
H4 H 0.199 0.909 0.782
H5 H 0.301 0.091 0.282
H6 H 0.301 0.409 0.782
H7 H 0.443 0.135 0.997
H8 H 0.443 0.365 0.497
H9 H 0.557 0.635 0.503
H10 H 0.557 0.865 0.003
H11 H 0.699 0.591 0.218
H12 H 0.699 0.909 0.718
H13 H 0.801 0.091 0.218
H14 H 0.801 0.409 0.718
H15 H 0.943 0.135 0.503
H16 H 0.943 0.365 0.003
O1 O 0.054 0.003 0.790
O2 O 0.054 0.497 0.290
O3 O 0.077 0.170 0.507
O4 O 0.077 0.330 0.007
O5 O 0.079 0.635 0.833
O6 O 0.079 0.865 0.333
O7 O 0.087 0.626 0.151
O8 O 0.087 0.874 0.651
O9 O 0.149 0.599 0.585
O10 O 0.149 0.901 0.085
O11 O 0.152 0.610 0.426
O12 O 0.152 0.890 0.926
O13 O 0.183 0.142 0.275
O14 O 0.183 0.358 0.775
O15 O 0.220 0.608 0.001
O16 O 0.220 0.892 0.501
O17 O 0.280 0.108 0.001
O18 O 0.280 0.392 0.501
O19 O 0.317 0.642 0.275
O20 O 0.317 0.858 0.775
O21 O 0.348 0.110 0.426
O22 O 0.348 0.390 0.926
O23 O 0.351 0.099 0.585
O24 O 0.351 0.401 0.085
O25 O 0.413 0.126 0.151
O26 O 0.413 0.374 0.651
O27 O 0.421 0.135 0.833
O28 O 0.421 0.365 0.333
O29 O 0.423 0.670 0.507
O30 O 0.423 0.830 0.007
O31 O 0.446 0.503 0.790
O32 O 0.446 0.997 0.290
O33 O 0.554 0.003 0.710
O34 O 0.554 0.497 0.210
O35 O 0.577 0.170 0.993
O36 O 0.577 0.330 0.493
O37 O 0.579 0.635 0.667
O38 O 0.579 0.865 0.167
O39 O 0.587 0.626 0.349
O40 O 0.587 0.874 0.849
O41 O 0.649 0.599 0.915
O42 O 0.649 0.901 0.415
O43 O 0.652 0.610 0.074
O44 O 0.652 0.890 0.574
O45 O 0.683 0.142 0.225
O46 O 0.683 0.358 0.725
O47 O 0.720 0.608 0.499
O48 O 0.720 0.892 0.999
O49 O 0.780 0.108 0.499
O50 O 0.780 0.392 0.999
O51 O 0.817 0.642 0.225
O52 O 0.817 0.858 0.725
O53 O 0.848 0.110 0.074
O54 O 0.848 0.390 0.574
O55 O 0.851 0.099 0.915
O56 O 0.851 0.401 0.415
O57 O 0.913 0.126 0.349
O58 O 0.913 0.374 0.849
O59 O 0.921 0.135 0.667
O60 O 0.921 0.365 0.167
O61 O 0.923 0.670 0.993
O62 O 0.923 0.830 0.493
O63 O 0.946 0.503 0.710
O64 O 0.946 0.997 0.210
# Crystal system   orthorhombic
# Distance to the lowest polymorph of the same formula   0.00 eV/f.u.
# Mass density   5.0 g cm⁻³

***

[2]
# NdSiH2O4 (GGA-PBE, relaxed)
data_NdSiH2O4
_cell_length_a 4.839
_cell_length_b 6.409
_cell_length_c 6.251
_cell_angle_alpha 90.00
_cell_angle_beta 105.72
_cell_angle_gamma 90.00
_space_group_name_H-M_alt 'P 1'
_space_group_IT_number 1
_space_group_name_Hall 'P 1'
loop_
_atom_site_label
_atom_site_type_symbol
_atom_site_fract_x
_atom_site_fract_y
_atom_site_fract_z
Nd1 Nd 0.080 0.250 0.213
Nd2 Nd 0.920 0.750 0.787
Si1 Si 0.228 0.250 0.740
Si2 Si 0.772 0.750 0.260
H1 H 0.306 0.750 0.425
H2 H 0.500 0.000 0.000
H3 H 0.500 0.500 0.000
H4 H 0.694 0.250 0.575
O1 O 0.084 0.750 0.447
O2 O 0.253 0.048 0.912
O3 O 0.253 0.452 0.912
O4 O 0.433 0.250 0.574
O5 O 0.567 0.750 0.426
O6 O 0.747 0.548 0.088
O7 O 0.747 0.952 0.088
O8 O 0.916 0.250 0.553
# Crystal system   monoclinic
# Distance to the lowest polymorph of the same formula   0.46 eV/f.u.
# Mass density   4.2 g cm⁻³

***

[3]
# NdSiHO4 (GGA-PBE, relaxed)
data_NdSiHO4
_cell_length_a 7.095
_cell_length_b 6.832
_cell_length_c 6.914
_cell_angle_alpha 90.00
_cell_angle_beta 104.41
_cell_angle_gamma 90.00
_space_group_name_H-M_alt 'P 1'
_space_group_IT_number 1
_space_group_name_Hall 'P 1'
loop_
_atom_site_label
_atom_site_type_symbol
_atom_site_fract_x
_atom_site_fract_y
_atom_site_fract_z
Nd1 Nd 0.141 0.145 0.179
Nd2 Nd 0.141 0.355 0.679
Nd3 Nd 0.859 0.645 0.321
Nd4 Nd 0.859 0.855 0.821
Si1 Si 0.268 0.593 0.193
Si2 Si 0.268 0.907 0.693
Si3 Si 0.732 0.093 0.307
Si4 Si 0.732 0.407 0.807
H1 H 0.482 0.219 0.616
H2 H 0.482 0.281 0.116
H3 H 0.518 0.719 0.884
H4 H 0.518 0.781 0.384
O1 O 0.118 0.725 0.633
O2 O 0.118 0.775 0.133
O3 O 0.186 0.039 0.852
O4 O 0.186 0.461 0.352
O5 O 0.274 0.058 0.512
O6 O 0.274 0.442 0.012
O7 O 0.495 0.672 0.287
O8 O 0.495 0.828 0.787
O9 O 0.505 0.172 0.213
O10 O 0.505 0.328 0.713
O11 O 0.726 0.558 0.988
O12 O 0.726 0.942 0.488
O13 O 0.814 0.539 0.648
O14 O 0.814 0.961 0.148
O15 O 0.882 0.225 0.867
O16 O 0.882 0.275 0.367
# Crystal system   monoclinic
# Distance to the lowest polymorph of the same formula   0.07 eV/f.u.
# Mass density   4.9 g cm⁻³

***

[4]
# NdSiH2O4 (GGA-PBE, relaxed)
data_NdSiH2O4
_cell_length_a 6.286
_cell_length_b 5.896
_cell_length_c 7.293
_cell_angle_alpha 55.72
_cell_angle_beta 50.80
_cell_angle_gamma 73.48
_space_group_name_H-M_alt 'P 1'
_space_group_IT_number 1
_space_group_name_Hall 'P 1'
loop_
_atom_site_label
_atom_site_type_symbol
_atom_site_fract_x
_atom_site_fract_y
_atom_site_fract_z
Nd1 Nd 0.000 0.000 0.000
Nd2 Nd 0.250 0.250 0.250
Si1 Si 0.517 0.517 0.483
Si2 Si 0.767 0.767 0.733
H1 H 0.143 0.616 0.795
H2 H 0.455 0.805 0.107
H3 H 0.616 0.143 0.445
H4 H 0.805 0.455 0.634
O1 O 0.262 0.448 0.808
O2 O 0.442 0.768 0.988
O3 O 0.448 0.262 0.482
O4 O 0.503 0.828 0.270
O5 O 0.768 0.442 0.802
O6 O 0.828 0.503 0.400
O7 O 0.850 0.980 0.422
O8 O 0.980 0.850 0.747
# Crystal system   orthorhombic
# Distance to the lowest polymorph of the same formula   0.00 eV/f.u.
# Mass density   4.6 g cm⁻³

***

[5]
# NdSiHO4 (GGA-PBE, relaxed)
data_NdSiHO4
_cell_length_a 8.764
_cell_length_b 8.764
_cell_length_c 8.764
_cell_angle_alpha 110.64
_cell_angle_beta 110.64
_cell_angle_gamma 110.64
_space_group_name_H-M_alt 'P 1'
_space_group_IT_number 1
_space_group_name_Hall 'P 1'
loop_
_atom_site_label
_atom_site_type_symbol
_atom_site_fract_x
_atom_site_fract_y
_atom_site_fract_z
Nd1 Nd 0.073 0.782 0.631
Nd2 Nd 0.133 0.302 0.565
Nd3 Nd 0.302 0.565 0.133
Nd4 Nd 0.565 0.133 0.302
Nd5 Nd 0.631 0.073 0.782
Nd6 Nd 0.782 0.631 0.073
Si1 Si 0.234 0.995 0.407
Si2 Si 0.407 0.234 0.995
Si3 Si 0.480 0.742 0.898
Si4 Si 0.742 0.898 0.480
Si5 Si 0.898 0.480 0.742
Si6 Si 0.995 0.407 0.234
H1 H 0.036 0.092 0.783
H2 H 0.092 0.783 0.036
H3 H 0.302 0.594 0.500
H4 H 0.500 0.302 0.594
H5 H 0.594 0.500 0.302
H6 H 0.783 0.036 0.092
O1 O 0.021 0.960 0.337
O2 O 0.094 0.478 0.820
O3 O 0.231 0.480 0.363
O4 O 0.237 0.258 0.874
O5 O 0.258 0.874 0.237
O6 O 0.312 0.697 0.699
O7 O 0.313 0.984 0.598
O8 O 0.337 0.021 0.960
O9 O 0.363 0.231 0.480
O10 O 0.475 0.542 0.844
O11 O 0.478 0.820 0.094
O12 O 0.480 0.363 0.231
O13 O 0.542 0.844 0.475
O14 O 0.598 0.313 0.984
O15 O 0.696 0.909 0.954
O16 O 0.697 0.699 0.312
O17 O 0.699 0.312 0.697
O18 O 0.820 0.094 0.478
O19 O 0.844 0.475 0.542
O20 O 0.874 0.237 0.258
O21 O 0.909 0.954 0.696
O22 O 0.954 0.696 0.909
O23 O 0.960 0.337 0.021
O24 O 0.984 0.598 0.313
# Crystal system   trigonal
# Distance to the lowest polymorph of the same formula   0.50 eV/f.u.
# Mass density   4.8 g cm⁻³

***

[6]
# NdSiHO4 (GGA-PBE, relaxed)
data_NdSiHO4
_cell_length_a 4.365
_cell_length_b 4.863
_cell_length_c 8.722
_cell_angle_alpha 90.00
_cell_angle_beta 119.31
_cell_angle_gamma 90.00
_space_group_name_H-M_alt 'P 1'
_space_group_IT_number 1
_space_group_name_Hall 'P 1'
loop_
_atom_site_label
_atom_site_type_symbol
_atom_site_fract_x
_atom_site_fract_y
_atom_site_fract_z
Nd1 Nd 0.000 0.063 0.000
Nd2 Nd 0.000 0.937 0.500
Si1 Si 0.621 0.457 0.226
Si2 Si 0.621 0.543 0.726
H1 H 0.229 0.374 0.347
H2 H 0.229 0.626 0.847
O1 O 0.339 0.293 0.272
O2 O 0.339 0.707 0.772
O3 O 0.581 0.273 0.060
O4 O 0.581 0.727 0.560
O5 O 0.586 0.211 0.706
O6 O 0.586 0.789 0.206
O7 O 0.992 0.409 0.411
O8 O 0.992 0.591 0.911
# Crystal system   monoclinic
# Distance to the lowest polymorph of the same formula   0.90 eV/f.u.
# Mass density   4.9 g cm⁻³